Entry 1:
The following is a DFT calculation (GGA-PBE) of a relaxed TbDy2Mg crystal.

Values from the calculation:
ΔE to the lowest computed polymorph, meV/atom: 0
Formation energy from the elements, eV per atom: -0.030
Space-group type: No. 69

Cell: 5.061 5.061 9.928 Å, 104.71 104.71 90.04°
Fractional positions:
Tb 0.368 0.368 0.236
Tb 0.632 0.632 0.764
Dy 0.868 0.868 0.235
Dy 0.132 0.132 0.765
Dy 0.500 0.000 0.500
Dy 0.000 0.500 0.500
Mg 0.250 0.750 0.000
Mg 0.750 0.250 0.000

---

Entry 2:
The following is a DFT calculation (GGA-PBE) of a relaxed HgRh3 crystal.

Values from the calculation:
Formation energy from the elements, eV per atom: 0.342
Space-group type: No. 225

Cell: 4.487 4.487 4.487 Å, 60.00 60.00 60.00°
Fractional positions:
Hg 0.000 0.000 0.000
Rh 0.250 0.250 0.250
Rh 0.500 0.500 0.500
Rh 0.750 0.750 0.750

---

Entry 3:
The following is a DFT calculation (GGA-PBE) of a relaxed Nd3In4Ni2 crystal.

Values from the calculation:
Formation energy from the elements, eV per atom: -0.412
Space-group type: No. 12

Cell: 4.588 6.159 8.918 Å, 72.18 75.09 68.13°
Fractional positions:
Nd 0.315 0.739 0.630
Nd 0.000 0.000 0.000
Nd 0.685 0.261 0.370
In 0.264 0.382 0.090
In 0.736 0.618 0.910
In 0.022 0.309 0.648
In 0.978 0.691 0.352
Ni 0.398 0.934 0.271
Ni 0.602 0.066 0.729

---

Entry 4:
The following is a DFT calculation (GGA-PBE) of a relaxed Ho12FeBi6 crystal.

Values from the calculation:
Formation energy from the elements, eV per atom: -0.410
Space-group type: No. 148

Cell: 8.592 8.592 8.592 Å, 99.65 99.65 99.65°
Fractional positions:
Ho 0.797 0.588 0.461
Ho 0.461 0.797 0.588
Ho 0.588 0.461 0.797
Ho 0.203 0.412 0.539
Ho 0.539 0.203 0.412
Ho 0.412 0.539 0.203
Ho 0.054 0.000 0.302
Ho 0.000 0.698 0.946
Ho 0.698 0.946 0.000
Ho 0.946 0.000 0.698
Ho 0.000 0.302 0.054
Ho 0.302 0.054 0.000
Fe 0.000 0.000 0.000
Bi 0.680 0.885 0.348
Bi 0.652 0.320 0.115
Bi 0.115 0.652 0.320
Bi 0.320 0.115 0.652
Bi 0.348 0.680 0.885
Bi 0.885 0.348 0.680